[1]
# PBE Ca2TeHPd, optimized geometry
# uncorrected energy = -3.994 eV/atom
# crystal system = tetragonal
data_Ca2TeHPd
_space_group_name_H-M_alt 'P 4/m m m'
_space_group_IT_number 123
_space_group_name_Hall '-P 4 2'
_cell_length_a 5.183
_cell_length_b 5.183
_cell_length_c 3.851
_cell_angle_alpha 90.00
_cell_angle_beta 90.00
_cell_angle_gamma 90.00
loop_
_atom_site_label
_atom_site_fract_x
_atom_site_fract_y
_atom_site_fract_z
_atom_site_occupancy
Ca1 0.000 0.500 0.000 1
Te1 0.000 0.000 0.500 1
H1 0.500 0.500 0.000 1
Pd1 0.500 0.500 0.500 1



[2]
# PBE Ca2Tl2HPd4, optimized geometry
# uncorrected energy = -4.039 eV/atom
# crystal system = tetragonal
data_Ca2Tl2HPd4
_space_group_name_H-M_alt 'I 4/m m m'
_space_group_IT_number 139
_space_group_name_Hall '-I 4 2'
_cell_length_a 6.400
_cell_length_b 6.400
_cell_length_c 8.055
_cell_angle_alpha 90.00
_cell_angle_beta 90.00
_cell_angle_gamma 90.00
loop_
_atom_site_label
_atom_site_fract_x
_atom_site_fract_y
_atom_site_fract_z
_atom_site_occupancy
Ca1 0.000 0.000 0.216 1
Tl1 0.000 0.500 0.250 1
H1 0.000 0.000 0.500 1
Pd1 0.229 0.229 0.500 1



[3]
# PBE CaTlHPd2, optimized geometry
# uncorrected energy = -3.922 eV/atom
# crystal system = tetragonal
data_CaTlHPd2
_space_group_name_H-M_alt 'P 4/m m m'
_space_group_IT_number 123
_space_group_name_Hall '-P 4 2'
_cell_length_a 4.290
_cell_length_b 4.290
_cell_length_c 4.489
_cell_angle_alpha 90.00
_cell_angle_beta 90.00
_cell_angle_gamma 90.00
loop_
_atom_site_label
_atom_site_fract_x
_atom_site_fract_y
_atom_site_fract_z
_atom_site_occupancy
Ca1 0.000 0.000 0.000 1
Tl1 0.500 0.500 0.000 1
H1 0.000 0.000 0.500 1
Pd1 0.000 0.500 0.500 1



Which value of uncorrected energy does entry 2 give?
-4.039 eV/atom